[1]
A plane-wave DFT calculation with PBE was carried out for a geometry-optimized AcBe2ZnAu4 structure.

Summary:
* calculated formation energy: -0.280 eV/atom
* space group: No. 166

abc: 9.756 9.756 9.756
angles: 25.40 25.40 25.40
Atoms (fractional coordinates):
Ac  0.000  0.000  0.000
Be  0.230  0.230  0.230
Be  0.770  0.770  0.770
Zn  0.500  0.500  0.500
Au  0.129  0.129  0.129
Au  0.406  0.406  0.406
Au  0.594  0.594  0.594
Au  0.871  0.871  0.871

[2]
A plane-wave DFT calculation with PBE was carried out for a geometry-optimized AcBi3Au8 structure.

Summary:
* calculated formation energy: -0.262 eV/atom
* space group: No. 160

abc: 10.117 10.117 10.117
angles: 33.04 33.04 33.04
Atoms (fractional coordinates):
Ac  0.000  0.000  0.000
Bi  0.131  0.131  0.131
Bi  0.496  0.496  0.496
Bi  0.615  0.615  0.615
Au  0.061  0.061  0.563
Au  0.061  0.563  0.061
Au  0.061  0.563  0.563
Au  0.312  0.312  0.312
Au  0.563  0.061  0.061
Au  0.563  0.061  0.563
Au  0.563  0.563  0.061
Au  0.812  0.812  0.812

[3]
A plane-wave DFT calculation with PBE was carried out for a geometry-optimized AcBi2Au9 structure.

Summary:
* calculated formation energy: -0.276 eV/atom
* space group: No. 166

abc: 9.987 9.987 9.987
angles: 33.24 33.24 33.24
Atoms (fractional coordinates):
Ac  0.000  0.000  0.000
Bi  0.148  0.148  0.148
Bi  0.852  0.852  0.852
Au  0.081  0.585  0.585
Au  0.333  0.333  0.333
Au  0.415  0.415  0.919
Au  0.415  0.919  0.415
Au  0.500  0.500  0.500
Au  0.585  0.081  0.585
Au  0.585  0.585  0.081
Au  0.667  0.667  0.667
Au  0.919  0.415  0.415

[4]
A plane-wave DFT calculation with PBE was carried out for a geometry-optimized AcBi3Au3 structure.

Summary:
* calculated formation energy: -0.424 eV/atom
* space group: No. 176

abc: 9.872 9.872 4.776
angles: 90.00 90.00 120.00
Atoms (fractional coordinates):
Ac  0.333  0.667  0.250
Ac  0.667  0.333  0.750
Bi  0.066  0.300  0.750
Bi  0.234  0.934  0.750
Bi  0.300  0.234  0.250
Bi  0.700  0.766  0.750
Bi  0.766  0.066  0.250
Bi  0.934  0.700  0.250
Au  0.064  0.597  0.750
Au  0.403  0.467  0.750
Au  0.467  0.064  0.250
Au  0.533  0.936  0.750
Au  0.597  0.533  0.250
Au  0.936  0.403  0.250

[5]
A plane-wave DFT calculation with PBE was carried out for a geometry-optimized AcBiAu structure.

Summary:
* calculated formation energy: -0.592 eV/atom
* space group: No. 107

abc: 6.582 6.582 6.582
angles: 145.31 145.31 49.87
Atoms (fractional coordinates):
Ac  0.000  0.000  0.000
Bi  0.707  0.707  0.000
Au  0.360  0.360  0.000

[6]
A plane-wave DFT calculation with PBE was carried out for a geometry-optimized Ac3Bi2Au9 structure.

Summary:
* calculated formation energy: -0.568 eV/atom
* space group: No. 71

abc: 9.136 9.136 9.136
angles: 149.69 112.13 76.11
Atoms (fractional coordinates):
Ac  0.000  0.000  0.000
Ac  0.292  0.292  0.000
Ac  0.708  0.708  0.000
Bi  0.305  0.500  0.805
Bi  0.695  0.500  0.195
Au  0.028  0.662  0.366
Au  0.141  0.856  0.284
Au  0.296  0.662  0.634
Au  0.428  0.144  0.284
Au  0.500  0.000  0.500
Au  0.572  0.856  0.716
Au  0.704  0.338  0.366
Au  0.859  0.144  0.716
Au  0.972  0.338  0.634

[7]
A plane-wave DFT calculation with PBE was carried out for a geometry-optimized AcBi2Au structure.

Summary:
* calculated formation energy: -0.339 eV/atom
* space group: No. 166

abc: 6.302 6.302 6.302
angles: 48.06 48.06 48.06
Atoms (fractional coordinates):
Ac  0.000  0.000  0.000
Bi  0.218  0.218  0.218
Bi  0.782  0.782  0.782
Au  0.500  0.500  0.500

[8]
A plane-wave DFT calculation with PBE was carried out for a geometry-optimized AcBi4Au structure.

Summary:
* calculated formation energy: -0.092 eV/atom
* space group: No. 216

abc: 6.532 6.532 6.532
angles: 60.00 60.00 60.00
Atoms (fractional coordinates):
Ac  0.000  0.000  0.000
Bi  0.129  0.624  0.624
Bi  0.624  0.129  0.624
Bi  0.624  0.624  0.129
Bi  0.624  0.624  0.624
Au  0.250  0.250  0.250

[9]
A plane-wave DFT calculation with PBE was carried out for a geometry-optimized Ac2BiAu10 structure.

Summary:
* calculated formation energy: -0.450 eV/atom
* space group: No. 14

abc: 5.451 6.483 16.892
angles: 90.00 94.00 90.00
Atoms (fractional coordinates):
Ac  0.186  0.132  0.358
Ac  0.186  0.368  0.858
Ac  0.814  0.632  0.142
Ac  0.814  0.868  0.642
Bi  0.500  0.000  0.000
Bi  0.500  0.500  0.500
Au  0.034  0.169  0.057
Au  0.034  0.331  0.557
Au  0.192  0.631  0.301
Au  0.192  0.869  0.801
Au  0.285  0.573  0.038
Au  0.285  0.927  0.538
Au  0.313  0.587  0.678
Au  0.313  0.913  0.178
Au  0.332  0.150  0.685
Au  0.332  0.350  0.185
Au  0.668  0.650  0.815
Au  0.668  0.850  0.315
Au  0.687  0.087  0.822
Au  0.687  0.413  0.322
Au  0.715  0.073  0.462
Au  0.715  0.427  0.962
Au  0.808  0.131  0.199
Au  0.808  0.369  0.699
Au  0.966  0.669  0.443
Au  0.966  0.831  0.943

[10]
A plane-wave DFT calculation with PBE was carried out for a geometry-optimized Ac3Bi3Au2 structure.

Summary:
* calculated formation energy: -0.735 eV/atom
* space group: No. 2

abc: 4.624 5.346 10.968
angles: 86.49 77.83 89.91
Atoms (fractional coordinates):
Ac  0.000  0.000  0.000
Ac  0.161  0.620  0.680
Ac  0.839  0.380  0.320
Bi  0.369  0.862  0.258
Bi  0.500  0.500  0.000
Bi  0.631  0.138  0.742
Au  0.249  0.174  0.502
Au  0.751  0.826  0.498

[11]
A plane-wave DFT calculation with PBE was carried out for a geometry-optimized AcBi3Au2 structure.

Summary:
* calculated formation energy: -0.425 eV/atom
* space group: No. 12

abc: 9.351 9.351 9.247
angles: 109.43 109.43 28.45
Atoms (fractional coordinates):
Ac  0.115  0.115  0.042
Ac  0.885  0.885  0.958
Bi  0.054  0.054  0.380
Bi  0.318  0.318  0.626
Bi  0.356  0.356  0.248
Bi  0.644  0.644  0.752
Bi  0.682  0.682  0.374
Bi  0.946  0.946  0.620
Au  0.249  0.249  0.884
Au  0.496  0.496  0.840
Au  0.504  0.504  0.160
Au  0.751  0.751  0.116

[12]
A plane-wave DFT calculation with PBE was carried out for a geometry-optimized AcBiAu4 structure.

Summary:
* calculated formation energy: -0.484 eV/atom
* space group: No. 216

abc: 5.833 5.833 5.833
angles: 60.00 60.00 60.00
Atoms (fractional coordinates):
Ac  0.000  0.000  0.000
Bi  0.250  0.250  0.250
Au  0.125  0.625  0.625
Au  0.625  0.125  0.625
Au  0.625  0.625  0.125
Au  0.625  0.625  0.625